1.
# NdZnIn

A geometry-optimized NdZnIn structure (GGA-PBEsol, the Alexandria database).

Cell: 4.6586 4.6586 7.4705 Å, 90.00 90.00 120.00°
Last column: nearest neighbours and their distance in Å.
Space group P6_3/mmc (No. 194)
Unique sites:
Nd1 0.0000 0.0000 0.0000 x2  6 Zn 3.27, 6 In 3.27
Zn1 0.3333 0.6667 0.2500 x2  3 In 2.69
In1 0.3333 0.6667 0.7500 x2  3 Zn 2.69

Computed properties:
The calculation puts the density of states at the Fermi level at 2.44 states/eV/f.u. For the uncorrected energy, the calculation gives -22.317 eV per cell.

---

2.
# In2Ni

A geometry-optimized In2Ni structure (GGA-PBEsol, the Alexandria database).

Cell: 4.4118 4.4118 2.9479 Å, 90.00 90.00 90.00°
Last column: nearest neighbours and their distance in Å.
Space group P4/mmm (No. 123)
Unique sites:
In1 0.0000 0.5000 0.0000 x2  4 Ni 2.65, 2 In 2.95
Ni1 0.0000 0.0000 0.5000 x1  8 In 2.65, 2 Ni 2.95

Computed properties:
The calculation puts the density of states at the Fermi level at 1.57 states/eV/f.u. For the uncorrected energy, the calculation gives -12.463 eV per cell.

---

E_form values, unit eV/atom, following the record order: -0.4757, -0.1133.